1.
DFT (PBE) results for a relaxed structure of Cs3ErTh3Se8.

Structure (POSCAR):
```
Cs3ErTh3Se8
1.0
4.252 2.455 8.631
-4.252 2.455 8.631
0.000 -4.910 8.631
Cs Er Th Se
3 1 3 8
direct
0.000 0.500 0.500
0.500 0.000 0.500
0.500 0.500 0.000
0.500 0.500 0.500
0.000 0.000 0.500
0.000 0.500 0.000
0.500 0.000 0.000
0.232 0.232 0.232
0.235 0.726 0.726
0.274 0.274 0.765
0.274 0.765 0.274
0.726 0.235 0.726
0.726 0.726 0.235
0.765 0.274 0.274
0.768 0.768 0.768
```

Output
Its space group is No. 166. For the density of states at the Fermi level, the calculation gives 9.381 states/eV/cell. Its raw formation energy is -1.632 eV per atom.

---

2.
DFT (PBE) results for a relaxed structure of Mg2TePdPt.

Structure (POSCAR):
```
Mg2TePdPt
1.0
4.884 0.000 0.000
0.000 4.884 0.000
0.000 0.000 4.961
Mg Te Pd Pt
2 1 1 1
direct
0.000 0.500 0.000
0.500 0.000 0.000
0.000 0.000 0.500
0.000 0.000 0.000
0.500 0.500 0.500
```

Output
Its space group is No. 123. For the density of states at the Fermi level, the calculation gives 1.763 states/eV/cell. Its raw formation energy is 0.146 eV per atom.

---

3.
DFT (PBE) results for a relaxed structure of UIrN.

Structure (POSCAR):
```
UIrN
1.0
-1.625 1.625 4.668
1.625 -1.625 4.668
1.625 1.625 -4.668
U Ir N
1 1 1
direct
0.000 0.000 0.000
0.704 0.704 0.000
0.471 0.471 0.000
```

Output
Its space group is No. 107. For the density of states at the Fermi level, the calculation gives 2.874 states/eV/cell. Its raw formation energy is -0.290 eV per atom.

---

4.
DFT (PBE) results for a relaxed structure of HfFeGe2.

Structure (POSCAR):
```
HfFeGe2
1.0
1.998 1.154 4.536
-1.998 1.154 4.536
0.000 -2.307 4.536
Hf Fe Ge
1 1 2
direct
0.000 0.000 0.000
0.500 0.500 0.500
0.223 0.223 0.223
0.777 0.777 0.777
```

Output
The calculation puts the energy of formation from the pure elements at -1.1 eV/f.u. Its space group is No. 166. For the density of states at the Fermi level, the calculation gives 2.168 states/eV/cell.

---

5.
DFT (PBE) results for a relaxed structure of Y2AgRu.

Structure (POSCAR):
```
Y2AgRu
1.0
-3.204 3.204 6.394
3.204 -3.204 6.394
3.204 3.204 -6.394
Y Ag Ru
4 2 2
direct
0.066 0.625 0.941
0.375 0.316 0.441
0.684 0.125 0.059
0.875 0.934 0.559
0.250 0.750 0.500
0.500 0.500 0.000
0.000 0.000 0.000
0.750 0.250 0.500
```

Output
The calculation puts the energy of formation from the pure elements at 2.3 eV/f.u. Its space group is No. 122. For the density of states at the Fermi level, the calculation gives 10.691 states/eV/cell.

---

6.
DFT (PBE) results for a relaxed structure of K2HfInSe5.

Structure (POSCAR):
```
K2HfInSe5
1.0
1.945 -9.861 0.000
1.945 9.861 0.000
0.000 0.000 14.514
K Hf In Se
4 2 2 10
direct
0.120 0.880 0.500
0.139 0.861 0.131
0.861 0.139 0.631
0.880 0.120 0.000
0.213 0.787 0.838
0.787 0.213 0.338
0.440 0.560 0.248
0.560 0.440 0.748
0.065 0.935 0.868
0.291 0.709 0.462
0.306 0.694 0.206
0.342 0.658 0.820
0.498 0.502 0.596
0.502 0.498 0.096
0.658 0.342 0.320
0.694 0.306 0.706
0.709 0.291 0.962
0.935 0.065 0.368
```

Output
Its space group is No. 36. For the density of states at the Fermi level, the calculation gives 10.680 states/eV/cell. Its raw formation energy is -0.991 eV per atom.

---

7.
DFT (PBE) results for a relaxed structure of KAlHg2.

Structure (POSCAR):
```
KAlHg2
1.0
4.100 -2.364 0.000
4.100 2.364 0.000
-2.720 0.000 6.231
K Al Hg
1 1 2
direct
0.000 0.000 0.000
0.500 0.500 0.500
0.209 0.209 0.626
0.791 0.791 0.374
```

Output
The calculation puts the energy of formation from the pure elements at -0.2 eV/f.u. Its space group is No. 12. For the density of states at the Fermi level, the calculation gives 2.357 states/eV/cell. The value obtained for the energy above the most stable polymorph in this dataset is 0.000 eV per atom.

---

8.
DFT (PBE) results for a relaxed structure of Pu5Pa2S12.

Structure (POSCAR):
```
Pu5Pa2S12
1.0
7.628 -3.737 0.000
7.628 3.737 0.000
-2.694 0.000 8.493
Pu Pa S
5 2 12
direct
0.000 0.000 0.000
0.293 0.293 0.133
0.311 0.311 0.679
0.689 0.689 0.321
0.707 0.707 0.867
0.254 0.746 0.500
0.746 0.254 0.500
0.011 0.011 0.306
0.096 0.547 0.405
0.102 0.602 0.939
0.398 0.898 0.061
0.453 0.904 0.595
0.497 0.497 0.278
0.503 0.503 0.722
0.547 0.096 0.405
0.602 0.102 0.939
0.898 0.398 0.061
0.904 0.453 0.595
0.989 0.989 0.694
```

Output
Its space group is No. 12. For the density of states at the Fermi level, the calculation gives 54.100 states/eV/cell. Its raw formation energy is -1.574 eV per atom.

---

9.
DFT (PBE) results for a relaxed structure of Tb7CeSm3.

Structure (POSCAR):
```
Tb7CeSm3
1.0
7.074 0.000 0.000
-3.537 6.126 0.000
0.000 0.000 8.667
Tb Ce Sm
7 1 3
direct
0.000 0.000 0.000
0.004 0.502 0.999
0.332 0.166 0.328
0.498 0.502 0.999
0.498 0.996 0.999
0.834 0.166 0.328
0.834 0.668 0.328
0.333 0.667 0.326
0.168 0.337 0.660
0.168 0.832 0.660
0.663 0.832 0.660
```

Output
The calculation puts the energy of formation from the pure elements at 2.2 eV/f.u. Its space group is No. 156. For the density of states at the Fermi level, the calculation gives 19.955 states/eV/cell.

---

10.
DFT (PBE) results for a relaxed structure of OsRu2I.

Structure (POSCAR):
```
OsRu2I
1.0
-2.963 2.963 5.413
2.963 -2.963 5.413
2.963 2.963 -5.413
Os Ru I
2 4 2
direct
0.000 0.000 0.000
0.750 0.250 0.500
0.088 0.625 0.963
0.375 0.338 0.463
0.662 0.125 0.037
0.875 0.912 0.537
0.250 0.750 0.500
0.500 0.500 0.000
```

Output
Its space group is No. 122. For the density of states at the Fermi level, the calculation gives 6.322 states/eV/cell. The value obtained for the energy above the most stable polymorph in this dataset is 0.000 eV per atom. Its raw formation energy is 1.090 eV per atom.

---

11.
DFT (PBE) results for a relaxed structure of MnCSCl2.

Structure (POSCAR):
```
MnCSCl2
1.0
4.698 0.000 0.000
0.000 4.698 0.000
0.000 0.000 4.279
Mn C S Cl
1 1 1 2
direct
0.000 0.000 0.000
0.500 0.500 0.500
0.000 0.000 0.500
0.000 0.500 0.000
0.500 0.000 0.000
```

Output
Its space group is No. 123. For the density of states at the Fermi level, the calculation gives 7.881 states/eV/cell. The value obtained for the energy above the most stable polymorph in this dataset is 0.398 eV per atom. Its raw formation energy is 1.332 eV per atom.

---

12.
DFT (PBE) results for a relaxed structure of Cs2VInI6.

Structure (POSCAR):
```
Cs2VInI6
1.0
0.000 6.096 6.096
6.096 0.000 6.096
6.096 6.096 0.000
Cs V In I
2 1 1 6
direct
0.250 0.250 0.250
0.750 0.750 0.750
0.000 0.000 0.000
0.500 0.500 0.500
0.229 0.229 0.771
0.229 0.771 0.229
0.229 0.771 0.771
0.771 0.229 0.229
0.771 0.229 0.771
0.771 0.771 0.229
```

Output
Its space group is No. 225. For the density of states at the Fermi level, the calculation gives 22.059 states/eV/cell. Its raw formation energy is -0.879 eV per atom.

---

| no. | mass density (g/cm3) |
| --- | --- |
| 1 | 5.818 |
| 2 | 6.704 |
| 3 | 14.966 |
| 4 | 10.047 |
| 5 | 4.892 |
| 6 | 4.570 |
| 7 | 6.424 |
| 8 | 7.088 |
| 9 | 7.532 |
| 10 | 9.070 |
| 11 | 2.987 |
| 12 | 4.372 |